The following is a DFT calculation (PBE-GGA) of YSe3O after structural relaxation.

Calculated values
Space-group type: Pm-3m (221)
ΔE_f (raw) (eV per atom): -0.575
ΔE to the lowest computed polymorph (meV/atom): 0

Unit cell a=4.5766 b=4.5766 c=4.5766 alpha=90.00 beta=90.00 gamma=90.00
Atoms (fractional coordinates):
1 Y 0.0000 0.0000 0.0000
2 Se 0.0000 0.5000 0.5000
3 Se 0.5000 0.0000 0.5000
4 Se 0.5000 0.5000 0.0000
5 O 0.5000 0.5000 0.5000

The following is a DFT calculation (PBE-GGA) of AcTl16Hg12 after structural relaxation.

Calculated values
Space-group type: Cm (8)
ΔE_f (eV/atom): -0.0429

Unit cell a=10.2230 b=10.2230 c=9.9805 alpha=107.67 beta=107.67 gamma=107.98
Atoms (fractional coordinates):
1 Ac 0.0000 0.0000 0.0000
2 Tl 0.0002 0.3985 0.5960
3 Tl 0.0308 0.0308 0.6273
4 Tl 0.0878 0.6765 0.9656
5 Tl 0.0909 0.3735 0.2872
6 Tl 0.2914 0.2914 0.5716
7 Tl 0.2959 0.9721 0.8850
8 Tl 0.3362 0.6868 0.2885
9 Tl 0.3702 0.6851 0.6795
10 Tl 0.3735 0.0909 0.2872
11 Tl 0.3985 0.0002 0.5960
12 Tl 0.6765 0.0878 0.9656
13 Tl 0.6809 0.6809 0.9264
14 Tl 0.6851 0.3702 0.6795
15 Tl 0.6868 0.3362 0.2885
16 Tl 0.6872 0.6872 0.2879
17 Tl 0.9721 0.2959 0.8850
18 Hg 0.0586 0.6849 0.4727
19 Hg 0.0592 0.8713 0.2830
20 Hg 0.3132 0.3132 0.0940
21 Hg 0.3191 0.5114 0.9119
22 Hg 0.4995 0.4995 0.4563
23 Hg 0.5021 0.8646 0.1040
24 Hg 0.5114 0.3191 0.9119
25 Hg 0.6825 0.8707 0.6573
26 Hg 0.6849 0.0586 0.4727
27 Hg 0.8646 0.5021 0.1040
28 Hg 0.8713 0.0592 0.2830
29 Hg 0.8707 0.6825 0.6573

The following is a DFT calculation (PBE-GGA) of Cr2Co2Ni3 after structural relaxation.

Calculated values
Space-group type: Cmce (64)
ΔE_f (eV/atom): 0.2230

Unit cell a=4.6403 b=4.6403 c=8.8493 alpha=90.00 beta=90.00 gamma=123.42
Atoms (fractional coordinates):
1 Cr 0.1974 0.3026 0.2500
2 Cr 0.3026 0.1974 0.7500
3 Cr 0.6974 0.8026 0.2500
4 Cr 0.8026 0.6974 0.7500
5 Co 0.1987 0.8013 0.3128
6 Co 0.3013 0.6987 0.8128
7 Co 0.6987 0.3013 0.1872
8 Co 0.8013 0.1987 0.6872
9 Ni 0.0000 0.0000 0.5000
10 Ni 0.1545 0.8455 0.0426
11 Ni 0.3455 0.6545 0.5426
12 Ni 0.5000 0.5000 0.0000
13 Ni 0.6545 0.3455 0.4574
14 Ni 0.8455 0.1545 0.9574

The following is a DFT calculation (PBE-GGA) of PtBr3 after structural relaxation.

Calculated values
Space-group type: Cmmm (65)
ΔE_f (raw) (eV per atom): 0.054

Unit cell a=4.7331 b=4.7331 c=9.8232 alpha=90.00 beta=90.00 gamma=136.94
Atoms (fractional coordinates):
1 Pt 0.0000 0.0000 0.0000
2 Br 0.0000 0.0000 0.5000
3 Br 0.5000 0.5000 0.1740
4 Br 0.5000 0.5000 0.8260

The following is a DFT calculation (PBE-GGA) of PuZn2Hg after structural relaxation.

Calculated values
Space-group type: P4/mmm (123)
ΔE_f (eV/atom): -0.0004
ΔE to the lowest computed polymorph (meV/atom): 64

Unit cell a=3.1569 b=3.1569 c=8.2595 alpha=90.00 beta=90.00 gamma=90.00
Atoms (fractional coordinates):
1 Pu 0.0000 0.0000 0.0000
2 Zn 0.5000 0.5000 0.2654
3 Zn 0.5000 0.5000 0.7346
4 Hg 0.0000 0.0000 0.5000

The following is a DFT calculation (PBE-GGA) of KAg2Mo after structural relaxation.

Calculated values
Space-group type: Pmmm (47)
ΔE_f (eV/atom): 0.6335
ΔE to the lowest computed polymorph (meV/atom): 20

Unit cell a=2.7914 b=4.1574 c=7.7473 alpha=90.00 beta=90.00 gamma=90.00
Atoms (fractional coordinates):
1 K 0.0000 0.0000 0.0000
2 Ag 0.5000 0.5000 0.3166
3 Ag 0.5000 0.5000 0.6834
4 Mo 0.0000 0.0000 0.5000

The following is a DFT calculation (PBE-GGA) of LaPuPtAu after structural relaxation.

Calculated values
Space-group type: Amm2 (38)
ΔE_f (eV/atom): -0.7742
ΔE to the lowest computed polymorph (meV/atom): 0

Unit cell a=4.5775 b=5.9090 c=5.9090 alpha=39.41 beta=90.00 gamma=90.00
Atoms (fractional coordinates):
1 La 0.0000 0.0000 0.0000
2 Pu 0.5000 0.2748 0.2748
3 Pt 0.0000 0.7341 0.7341
4 Au 0.5000 0.5562 0.5562

The following is a DFT calculation (PBE-GGA) of Ac2TmPt after structural relaxation.

Calculated values
Space-group type: P4/mmm (123)
ΔE_f (eV/atom): -0.4350
ΔE to the lowest computed polymorph (meV/atom): 0

Unit cell a=3.8965 b=3.8965 c=8.5369 alpha=90.00 beta=90.00 gamma=90.00
Atoms (fractional coordinates):
1 Ac 0.0000 0.0000 0.2067
2 Ac 0.0000 0.0000 0.7933
3 Tm 0.5000 0.5000 0.5000
4 Pt 0.5000 0.5000 0.0000

The following is a DFT calculation (PBE-GGA) of Tb2Si2PtRh5 after structural relaxation.

Calculated values
Space-group type: P4/mbm (127)
ΔE_f (raw) (eV per atom): -0.842

Unit cell a=9.6593 b=9.6593 c=3.5416 alpha=90.00 beta=90.00 gamma=90.00
Atoms (fractional coordinates):
1 Tb 0.1762 0.3238 0.0000
2 Tb 0.3238 0.8238 0.0000
3 Tb 0.6762 0.1762 0.0000
4 Tb 0.8238 0.6762 0.0000
5 Si 0.1233 0.6233 0.0000
6 Si 0.3767 0.1233 0.0000
7 Si 0.6233 0.8767 0.0000
8 Si 0.8767 0.3767 0.0000
9 Pt 0.0000 0.0000 0.0000
10 Pt 0.5000 0.5000 0.0000
11 Rh 0.0000 0.5000 0.5000
12 Rh 0.0686 0.7854 0.5000
13 Rh 0.2146 0.0686 0.5000
14 Rh 0.2854 0.5686 0.5000
15 Rh 0.4314 0.2854 0.5000
16 Rh 0.5000 0.0000 0.5000
17 Rh 0.5686 0.7146 0.5000
18 Rh 0.7146 0.4314 0.5000
19 Rh 0.7854 0.9314 0.5000
20 Rh 0.9314 0.2146 0.5000

The following is a DFT calculation (PBE-GGA) of KMnS3 after structural relaxation.

Calculated values
Space-group type: Pm-3m (221)
ΔE_f (raw) (eV per atom): 1.302
ΔE to the lowest computed polymorph (meV/atom): 1886

Unit cell a=5.3277 b=5.3277 c=5.3277 alpha=90.00 beta=90.00 gamma=90.00
Atoms (fractional coordinates):
1 K 0.0000 0.0000 0.0000
2 Mn 0.5000 0.5000 0.5000
3 S 0.0000 0.0000 0.5000
4 S 0.0000 0.5000 0.0000
5 S 0.5000 0.0000 0.0000

The following is a DFT calculation (PBE-GGA) of LiTm2TeO6 after structural relaxation.

Calculated values
Space-group type: R3 (146)
ΔE_f (raw) (eV per atom): -2.429

Unit cell a=5.9760 b=5.9760 c=5.9760 alpha=55.78 beta=55.78 gamma=55.78
Atoms (fractional coordinates):
1 Li 0.0000 0.0000 0.0000
2 Tm 0.2388 0.2388 0.2388
3 Tm 0.7456 0.7456 0.7456
4 Te 0.5412 0.5412 0.5412
5 O 0.1611 0.4519 0.8176
6 O 0.3490 0.9144 0.6337
7 O 0.4519 0.8176 0.1611
8 O 0.6337 0.3490 0.9144
9 O 0.8176 0.1611 0.4519
10 O 0.9144 0.6337 0.3490

The following is a DFT calculation (PBE-GGA) of TmSnTe after structural relaxation.

Calculated values
Space-group type: P-6m2 (187)
ΔE_f (raw) (eV per atom): -0.581

Unit cell a=4.0104 b=4.0104 c=12.9802 alpha=90.00 beta=90.00 gamma=120.00
Atoms (fractional coordinates):
1 Tm 0.0000 0.0000 0.1693
2 Tm 0.0000 0.0000 0.8307
3 Sn 0.0000 0.0000 0.5000
4 Sn 0.6667 0.3333 0.0000
5 Te 0.6667 0.3333 0.3194
6 Te 0.6667 0.3333 0.6806

The following is a DFT calculation (PBE-GGA) of PmTlH8Rh4 after structural relaxation.

Calculated values
Space-group type: R3m (160)

Unit cell a=6.2062 b=6.2062 c=6.2062 alpha=53.52 beta=53.52 gamma=53.52
Atoms (fractional coordinates):
1 Pm 0.0000 0.0000 0.0000
2 Tl 0.3454 0.3454 0.3454
3 H 0.2073 0.2073 0.2073
4 H 0.2490 0.7118 0.7118
5 H 0.2842 0.2842 0.7992
6 H 0.2842 0.7992 0.2842
7 H 0.7118 0.2490 0.7118
8 H 0.7118 0.7118 0.2490
9 H 0.7542 0.7542 0.7542
10 H 0.7992 0.2842 0.2842
11 Rh 0.5074 0.9935 0.9935
12 Rh 0.6361 0.6361 0.6361
13 Rh 0.9935 0.5074 0.9935
14 Rh 0.9935 0.9935 0.5074

The following is a DFT calculation (PBE-GGA) of LaZn2Ru after structural relaxation.

Calculated values
Space-group type: Cm (8)
ΔE_f (eV/atom): -0.2137

Unit cell a=4.3853 b=4.3853 c=5.6225 alpha=113.01 beta=113.01 gamma=60.15
Atoms (fractional coordinates):
1 La 0.0000 0.0000 0.0000
2 Zn 0.2001 0.2001 0.5990
3 Zn 0.4826 0.4826 0.4471
4 Ru 0.8016 0.8016 0.4033

The following is a DFT calculation (PBE-GGA) of Li3Pr2Ge4Au after structural relaxation.

Calculated values
Space-group type: P-4m2 (115)
ΔE_f (eV/atom): -0.5840

Unit cell a=4.2711 b=4.2711 c=10.5821 alpha=90.00 beta=90.00 gamma=90.00
Atoms (fractional coordinates):
1 Li 0.0000 0.0000 0.0000
2 Li 0.0000 0.5000 0.6262
3 Li 0.5000 0.0000 0.3738
4 Pr 0.0000 0.5000 0.2584
5 Pr 0.5000 0.0000 0.7416
6 Ge 0.0000 0.0000 0.5000
7 Ge 0.0000 0.5000 0.8578
8 Ge 0.5000 0.0000 0.1422
9 Ge 0.5000 0.5000 0.5000
10 Au 0.5000 0.5000 0.0000

The following is a DFT calculation (PBE-GGA) of TiIn2F after structural relaxation.

Calculated values
Space-group type: Fm-3m (225)
ΔE_f (raw) (eV per atom): -0.259
ΔE to the lowest computed polymorph (meV/atom): 149

Unit cell a=4.8218 b=4.8218 c=4.8218 alpha=60.00 beta=60.00 gamma=60.00
Atoms (fractional coordinates):
1 Ti 0.0000 0.0000 0.0000
2 In 0.2500 0.2500 0.2500
3 In 0.7500 0.7500 0.7500
4 F 0.5000 0.5000 0.5000

The following is a DFT calculation (PBE-GGA) of CeLuGa2 after structural relaxation.

Calculated values
Space-group type: P4/mmm (123)
ΔE_f (eV/atom): -0.5265

Unit cell a=3.4962 b=3.4962 c=7.3980 alpha=90.00 beta=90.00 gamma=90.00
Atoms (fractional coordinates):
1 Ce 0.0000 0.0000 0.0000
2 Lu 0.0000 0.0000 0.5000
3 Ga 0.5000 0.5000 0.2672
4 Ga 0.5000 0.5000 0.7328

The following is a DFT calculation (PBE-GGA) of MoWBr after structural relaxation.

Calculated values
Space-group type: P-6m2 (187)
ΔE_f (raw) (eV per atom): 0.931
ΔE to the lowest computed polymorph (meV/atom): 476

Unit cell a=4.4345 b=4.4345 c=2.9453 alpha=90.00 beta=90.00 gamma=120.00
Atoms (fractional coordinates):
1 Mo 0.0000 0.0000 0.0000
2 W 0.6667 0.3333 0.5000
3 Br 0.3333 0.6667 0.5000

The following is a DFT calculation (PBE-GGA) of Mo2C2Br after structural relaxation.

Calculated values
Space-group type: P4/mbm (127)
ΔE_f (raw) (eV per atom): 0.932
ΔE to the lowest computed polymorph (meV/atom): 227

Unit cell a=6.5004 b=6.5004 c=2.9505 alpha=90.00 beta=90.00 gamma=90.00
Atoms (fractional coordinates):
1 Mo 0.2457 0.2543 0.0000
2 Mo 0.2543 0.7543 0.0000
3 Mo 0.7457 0.2457 0.0000
4 Mo 0.7543 0.7457 0.0000
5 C 0.0749 0.4251 0.5000
6 C 0.4251 0.9251 0.5000
7 C 0.5749 0.0749 0.5000
8 C 0.9251 0.5749 0.5000
9 Br 0.0000 0.0000 0.5000
10 Br 0.5000 0.5000 0.5000

The following is a DFT calculation (PBE-GGA) of Zr2PdPt8 after structural relaxation.

Calculated values
Space-group type: Immm (71)
ΔE_f (eV/atom): -0.6589

Unit cell a=7.3656 b=7.3656 c=7.3656 alpha=148.40 beta=112.53 gamma=76.41
Atoms (fractional coordinates):
1 Zr 0.1557 0.1557 0.0000
2 Zr 0.8443 0.8443 0.0000
3 Pd 0.5000 0.5000 0.0000
4 Pt 0.0900 0.3394 0.7506
5 Pt 0.2559 0.0000 0.2559
6 Pt 0.3203 0.8203 0.5000
7 Pt 0.4112 0.6606 0.7506
8 Pt 0.5888 0.3394 0.2494
9 Pt 0.6797 0.1797 0.5000
10 Pt 0.7441 0.0000 0.7441
11 Pt 0.9100 0.6606 0.2494

The following is a DFT calculation (PBE-GGA) of Rb2V2Cr after structural relaxation.

Calculated values
Space-group type: I4/mmm (139)
ΔE_f (eV/atom): 1.5465
ΔE to the lowest computed polymorph (meV/atom): 290

Unit cell a=8.3523 b=8.3523 c=8.3523 alpha=149.67 beta=149.67 gamma=43.42
Atoms (fractional coordinates):
1 Rb 0.2500 0.7500 0.5000
2 Rb 0.7500 0.2500 0.5000
3 V 0.0585 0.0585 0.0000
4 V 0.9415 0.9415 0.0000
5 Cr 0.5000 0.5000 0.0000

The following is a DFT calculation (PBE-GGA) of Ba2ZnIn7 after structural relaxation.

Calculated values
Space-group type: P-4m2 (115)
ΔE_f (eV/atom): -0.3355

Unit cell a=4.9713 b=4.9713 c=12.1607 alpha=90.00 beta=90.00 gamma=90.00
Atoms (fractional coordinates):
1 Ba 0.0000 0.5000 0.2412
2 Ba 0.5000 0.0000 0.7588
3 Zn 0.5000 0.5000 0.0000
4 In 0.0000 0.0000 0.0000
5 In 0.0000 0.0000 0.5000
6 In 0.0000 0.5000 0.6395
7 In 0.0000 0.5000 0.8760
8 In 0.5000 0.0000 0.1240
9 In 0.5000 0.0000 0.3605
10 In 0.5000 0.5000 0.5000

The following is a DFT calculation (PBE-GGA) of TaBeRh after structural relaxation.

Calculated values
Space-group type: F-43m (216)
ΔE_f (eV/atom): 0.4620
ΔE to the lowest computed polymorph (meV/atom): 984

Unit cell a=4.1501 b=4.1501 c=4.1501 alpha=60.00 beta=60.00 gamma=60.00
Atoms (fractional coordinates):
1 Ta 0.0000 0.0000 0.0000
2 Be 0.2500 0.2500 0.2500
3 Rh 0.7500 0.7500 0.7500

The following is a DFT calculation (PBE-GGA) of LiTl after structural relaxation.

Calculated values
Space-group type: P-3m1 (164)
ΔE_f (eV/atom): -0.0620

Unit cell a=3.4716 b=3.4716 c=9.4903 alpha=90.00 beta=90.00 gamma=120.00
Atoms (fractional coordinates):
1 Li 0.3333 0.6667 0.1279
2 Li 0.6667 0.3333 0.8721
3 Tl 0.3333 0.6667 0.6394
4 Tl 0.6667 0.3333 0.3606

Number 1: DFT total energy -24.75 eV per cell, D(E_F) 0.3456 states/eV/atom. Number 2: DFT total energy -46.83 eV per cell, D(E_F) 0.3686 states/eV/atom. Number 3: DFT total energy -98.48 eV per cell, D(E_F) 1.1746 states/eV/atom. Number 4: DFT total energy -10.84 eV per cell, D(E_F) 1.5085 states/eV/atom. Number 5: DFT total energy -17.18 eV per cell, D(E_F) 1.6274 states/eV/atom. Number 6: DFT total energy -15.10 eV per cell, D(E_F) 0.8612 states/eV/atom. Number 7: DFT total energy -31.67 eV per cell, D(E_F) 3.4110 states/eV/atom. Number 8: DFT total energy -20.47 eV per cell, D(E_F) 0.9975 states/eV/atom. Number 9: DFT total energy -142.64 eV per cell, D(E_F) 0.8227 states/eV/atom. Number 10: DFT total energy -16.14 eV per cell, D(E_F) 0.7134 states/eV/atom. Number 11: DFT total energy -68.03 eV per cell, D(E_F) 0.3513 states/eV/atom. Number 12: DFT total energy -26.72 eV per cell, D(E_F) 0.7273 states/eV/atom. Number 13: DFT total energy -65.13 eV per cell, D(E_F) 0.2338 states/eV/atom. Number 14: DFT total energy -17.61 eV per cell, D(E_F) 0.7265 states/eV/atom. Number 15: DFT total energy -42.89 eV per cell, D(E_F) 0.4001 states/eV/atom. Number 16: DFT total energy -16.28 eV per cell, D(E_F) 0.7900 states/eV/atom. Number 17: DFT total energy -18.61 eV per cell, D(E_F) 1.3584 states/eV/atom. Number 18: DFT total energy -22.66 eV per cell, D(E_F) 0.8238 states/eV/atom. Number 19: DFT total energy -74.24 eV per cell, D(E_F) 0.5866 states/eV/atom. Number 20: DFT total energy -77.86 eV per cell, D(E_F) 0.4423 states/eV/atom. Number 21: DFT total energy -22.06 eV per cell, D(E_F) 0.9630 states/eV/atom. Number 22: DFT total energy -27.64 eV per cell, D(E_F) 0.2437 states/eV/atom. Number 23: DFT total energy -21.54 eV per cell, D(E_F) 0.6450 states/eV/atom. Number 24: DFT total energy -8.81 eV per cell, D(E_F) 0.3605 states/eV/atom.